Below is an optimized crystal structure of CaSm4Se7, with properties calculated at the PBE level.

Values from the calculation:
size of the total moment = 0.00 μB/f.u.
E_form (uncorrected) = -1.89 eV/atom

abc: 13.6571 4.0840 12.4226
angles: 90.00 105.12 90.00
Closest atoms and distances in Å follow each position.
Space group Cm (No. 8)
Inequivalent atoms, fractional coordinates:
Ca  0.0000  0.0000  0.0000 x2  6 Se 2.90-3.02
Sm  0.1254  0.0000  0.4191 x2  6 Se 2.85-2.95
Sm  0.2296  0.0000  0.8482 x2  6 Se 2.87-2.96
Sm  0.3194  0.5000  0.2319 x2  7 Se 2.91-3.18
Sm  0.4315  0.0000  0.6275 x2  6 Se 2.88-3.12
Se  0.0817  0.0000  0.6335 x2  4 Sm 2.88-2.90
Se  0.0989  0.5000  0.8958 x2  2 Sm 2.87, 2 Ca 2.93
Se  0.1625  0.0000  0.2041 x2  3 Sm 2.85-2.91, 1 Ca 2.90
Se  0.2852  0.5000  0.4752 x2  5 Sm 2.94-3.18
Se  0.3518  0.5000  0.7726 x2  4 Sm 2.94-3.10, 1 Ca 3.02
Se  0.3739  0.0000  0.0724 x2  2 Ca 2.96, 3 Sm 2.96-3.07
Se  0.4644  0.0000  0.3758 x2  5 Sm 2.95-3.27

---

Below is an optimized crystal structure of TaN2OF, with properties calculated at the PBE level.

Values from the calculation:
size of the total moment = 0.00 μB/f.u.
E_form (uncorrected) = 1.27 eV/atom

abc: 3.5848 3.5848 3.5593
angles: 90.00 90.00 90.00
Closest atoms and distances in Å follow each position.
Space group P4/mmm (No. 123)
Inequivalent atoms, fractional coordinates:
Ta  0.0000  0.0000  0.0000 x1  8 N 2.53, 4 O 2.53
N  0.0000  0.5000  0.5000 x2  2 F 1.79
O  0.5000  0.5000  0.0000 x1  2 F 1.78
F  0.5000  0.5000  0.5000 x1  2 O 1.78, 4 N 1.79

---

Below is an optimized crystal structure of ZnMoAs2Br, with properties calculated at the PBE level.

Values from the calculation:
polymorph energy (0 for the lowest one) = 0.000 eV/atom
size of the total moment = 0.00 μB/f.u.
E_form (uncorrected) = 0.37 eV/atom

abc: 4.8421 4.8421 5.4223
angles: 90.00 90.00 90.00
Closest atoms and distances in Å follow each position.
Space group P4/mmm (No. 123)
Inequivalent atoms, fractional coordinates:
Zn  0.0000  0.0000  0.0000 x1  4 Br 3.42, 8 As 3.63
Mo  0.5000  0.5000  0.5000 x1  4 As 2.42, 2 Br 2.71
As  0.0000  0.5000  0.5000 x2  2 Mo 2.42
Br  0.5000  0.5000  0.0000 x1  2 Mo 2.71

---

Below is an optimized crystal structure of PmNdEr2, with properties calculated at the PBE level.

Values from the calculation:
polymorph energy (0 for the lowest one) = 0.000 eV/atom
size of the total moment = 0.00 μB/f.u.
calculated formation energy = 0.015 eV/atom

abc: 3.5909 3.5909 34.8236
angles: 90.00 90.00 120.00
Closest atoms and distances in Å follow each position.
Space group R-3m (No. 166, hexagonal axes)
Inequivalent atoms, fractional coordinates:
Pm  0.0000  0.0000  0.0000 x3  6 Er 3.56, 6 Pm 3.59
Nd  0.0000  0.0000  0.5000 x3  6 Er 3.57, 6 Nd 3.59
Er  0.0000  0.0000  0.2503 x6  3 Pm 3.56, 3 Nd 3.57, 6 Er 3.59

---

Below is an optimized crystal structure of TaTcTeF2, with properties calculated at the PBE level.

Values from the calculation:
size of the total moment = 1.05 μB/f.u.
E_form (uncorrected) = 0.11 eV/atom

abc: 4.1178 4.1178 5.3940
angles: 90.00 90.00 90.00
Closest atoms and distances in Å follow each position.
Space group P4/mmm (No. 123)
Inequivalent atoms, fractional coordinates:
Ta  0.0000  0.0000  0.0000 x1  4 Tc 2.91
Tc  0.5000  0.5000  0.0000 x1  2 Te 2.70, 4 Ta 2.91
Te  0.5000  0.5000  0.5000 x1  4 F 2.06
F  0.0000  0.5000  0.5000 x2  2 Te 2.06

---

Below is an optimized crystal structure of OsPdS2, with properties calculated at the PBE level.

Values from the calculation:
polymorph energy (0 for the lowest one) = 0.000 eV/atom
size of the total moment = 0.00 μB/f.u.
E_form (uncorrected) = 0.00 eV/atom

abc: 5.3451 5.3451 10.7022
angles: 90.00 90.00 90.00
Closest atoms and distances in Å follow each position.
Space group I-42d (No. 122)
Inequivalent atoms, fractional coordinates:
Os  0.0000  0.0000  0.0000 x4  4 S 2.24
Pd  0.0000  0.0000  0.5000 x4  4 S 2.39
S  0.2253  0.2500  0.1250 x8  2 Os 2.24, 2 Pd 2.39

---

Below is an optimized crystal structure of K2ZnAs, with properties calculated at the PBE level.

Values from the calculation:
polymorph energy (0 for the lowest one) = 0.277 eV/atom
size of the total moment = 0.13 μB/f.u.
calculated formation energy = 0.017 eV/atom

abc: 8.2872 8.3402 3.6074
angles: 90.00 90.00 90.00
Closest atoms and distances in Å follow each position.
Space group Cmmm (No. 65)
Inequivalent atoms, fractional coordinates:
K  0.2500  0.2500  0.0000 x4  4 As 3.45, 4 Zn 3.45, 2 K 3.61
Zn  0.0000  0.0000  0.5000 x2  8 K 3.45, 2 Zn 3.61
As  0.0000  0.5000  0.5000 x2  8 K 3.45, 2 As 3.61

---

Below is an optimized crystal structure of NiAs2Ir, with properties calculated at the PBE level.

Values from the calculation:
polymorph energy (0 for the lowest one) = 0.000 eV/atom
size of the total moment = 0.00 μB/f.u.
calculated formation energy = -0.225 eV/atom

abc: 3.7489 3.7489 5.1990
angles: 90.00 90.00 120.00
Closest atoms and distances in Å follow each position.
Space group P-3m1 (No. 164)
Inequivalent atoms, fractional coordinates:
Ni  0.0000  0.0000  0.0000 x1  6 As 2.50, 2 Ir 2.60
As  0.3333  0.6667  0.2396 x2  3 Ni 2.50, 3 Ir 2.55
Ir  0.0000  0.0000  0.5000 x1  6 As 2.55, 2 Ni 2.60

---

Below is an optimized crystal structure of Cd3H2Pt4, with properties calculated at the PBE level.

Values from the calculation:
polymorph energy (0 for the lowest one) = 0.000 eV/atom
size of the total moment = 0.00 μB/f.u.

abc: 11.7167 8.7273 5.5493
angles: 90.00 102.16 90.00
Closest atoms and distances in Å follow each position.
Space group C2/c (No. 15)
Inequivalent atoms, fractional coordinates:
Cd  0.0000  0.0992  0.2500 x4  2 H 2.60, 6 Pt 2.76-2.91
Cd  0.1006  0.3693  0.5413 x8  1 H 2.70, 6 Pt 2.83-2.92, 1 Cd 2.96
H  0.1463  0.1271  0.8494 x8  3 Pt 1.81-1.97
Pt  0.1424  0.3026  0.0509 x8  1 H 1.90
Pt  0.2013  0.0123  0.6278 x8  2 H 1.81-1.97

---

Below is an optimized crystal structure of HPtRhAu2, with properties calculated at the PBE level.

Values from the calculation:
energy = -4.46 eV per atom
size of the total moment = 0.01 μB/f.u.

abc: 4.4170 4.4170 3.5402
angles: 90.00 90.00 90.00
Closest atoms and distances in Å follow each position.
Space group P4/mmm (No. 123)
Inequivalent atoms, fractional coordinates:
H  0.0000  0.0000  0.0000 x1  2 Rh 1.77
Pt  0.5000  0.5000  0.5000 x1  8 Au 2.83, 4 Rh 3.12
Rh  0.0000  0.0000  0.5000 x1  2 H 1.77
Au  0.0000  0.5000  0.0000 x2  2 H 2.21

---

Below is an optimized crystal structure of Ho7Ga2C2, with properties calculated at the PBE level.

Values from the calculation:
size of the total moment = 0.00 μB/f.u.
calculated formation energy = 0.013 eV/atom

abc: 7.9033 11.1199 7.2067
angles: 90.00 96.09 90.00
Closest atoms and distances in Å follow each position.
Space group C2/m (No. 12)
Inequivalent atoms, fractional coordinates:
Ho  0.0000  0.0000  0.0000 x2  2 C 2.41
Ho  0.0846  0.5000  0.7919 x4  2 C 2.33-2.59
Ho  0.2489  0.3117  0.2326 x8  1 C 2.31
Ga  0.0000  0.3100  0.5000 x4  6 Ho 2.90-3.01
C  0.2168  0.5000  0.0969 x4  4 Ho 2.31-2.41

---

Below is an optimized crystal structure of K3Cd2Pb, with properties calculated at the PBE level.

Values from the calculation:
size of the total moment = 0.00 μB/f.u.
calculated formation energy = -0.062 eV/atom

abc: 11.7955 10.7720 8.8453
angles: 90.00 104.85 90.00
Closest atoms and distances in Å follow each position.
Space group C2/c (No. 15)
Inequivalent atoms, fractional coordinates:
K  0.0000  0.1492  0.2500 x4  1 Pb 3.61, 4 Cd 3.67
K  0.1913  0.4324  0.9863 x8  4 Cd 3.71-3.84, 2 Pb 3.75-4.00
Cd  0.1946  0.2431  0.6265 x8  1 Pb 2.85, 1 Cd 2.87
Pb  0.0000  0.1863  0.7500 x4  2 Cd 2.85